1.
## BaCd3Pd (PBE-GGA)

Data for a relaxed BaCd3Pd crystal.

Unit cell a=5.283 b=5.283 c=5.283 alpha=90.00 beta=90.00 gamma=90.00
Positions (direct):
Ba: 0.500 0.500 0.500
Pd: 0.000 0.000 0.000
Cd: 0.000 0.500 0.000
Cd: 0.000 0.000 0.500
Cd: 0.500 0.000 0.000

For the calculated volume, the calculation gives 29.50 Å³/atom. For the distance to the lowest polymorph of the same formula, the calculation gives 55 meV/atom. Its energy relative to the elements is -1.588 eV per formula unit.



2.
## Dy5ScAs6 (PBE-GGA)

Data for a relaxed Dy5ScAs6 crystal.

Unit cell a=7.071 b=7.074 c=7.072 alpha=59.99 beta=80.39 gamma=70.50
Positions (direct):
Sc: 0.000 0.000 0.000
As: 0.755 0.081 0.326
As: 0.245 0.593 0.326
As: 0.246 0.244 0.000
As: 0.754 0.756 0.000
As: 0.755 0.407 0.674
As: 0.245 0.919 0.674
Dy: 0.500 0.168 0.663
Dy: 0.000 0.334 0.332
Dy: 0.500 0.500 0.000
Dy: 0.000 0.666 0.668
Dy: 0.500 0.832 0.337

For the calculated volume, the calculation gives 24.06 Å³/atom. Its energy relative to the elements is -17.982 eV per formula unit.



3.
## ZrBr3 (PBE-GGA)

Data for a relaxed ZrBr3 crystal.

Unit cell a=5.756 b=5.756 c=5.756 alpha=115.85 beta=115.85 gamma=115.85
Positions (direct):
Br: 0.000 0.000 0.000
Br: 0.500 0.000 0.500
Br: 0.500 0.500 0.000
Zr: 0.000 0.500 0.500

For the calculated volume, the calculation gives 24.47 Å³/atom. The value obtained for the formation energy (no corrections) is -0.15 eV/atom.



4.
## LaHRu2 (PBE-GGA)

Data for a relaxed LaHRu2 crystal.

Unit cell a=4.455 b=4.455 c=4.455 alpha=60.00 beta=60.00 gamma=60.00
Positions (direct):
Ru: 0.250 0.250 0.250
Ru: 0.750 0.750 0.750
H: 0.000 0.000 0.000
La: 0.500 0.500 0.500

For the calculated volume, the calculation gives 15.63 Å³/atom. For the distance to the lowest polymorph of the same formula, the calculation gives 982 meV/atom.



5.
## BaLi2Ag3 (PBE-GGA)

Data for a relaxed BaLi2Ag3 crystal.

Unit cell a=5.486 b=7.305 c=7.305 alpha=102.13 beta=90.00 gamma=90.00
Positions (direct):
Ba: 0.250 0.308 0.308
Ba: 0.750 0.692 0.692
Li: 0.500 0.793 0.207
Li: 0.000 0.793 0.207
Li: 0.000 0.207 0.793
Li: 0.500 0.207 0.793
Ag: 0.750 0.465 0.069
Ag: 0.750 0.069 0.465
Ag: 0.250 0.535 0.931
Ag: 0.750 0.069 0.069
Ag: 0.250 0.931 0.931
Ag: 0.250 0.931 0.535

For the calculated volume, the calculation gives 23.85 Å³/atom. Its energy relative to the elements is -1.291 eV per formula unit.



6.
## CoNi2Br (PBE-GGA)

Data for a relaxed CoNi2Br crystal.

Unit cell a=6.689 b=6.689 c=5.352 alpha=51.32 beta=51.32 gamma=90.00
Each line ends with the local moment (μB).
Positions (direct):
Ni: 0.620 0.125 0.250  0.47
Ni: 0.130 0.625 0.250  0.46
Ni: 0.375 0.380 0.750  0.46
Ni: 0.875 0.870 0.750  0.44
Co: 0.500 0.500 0.000  1.50
Co: 0.250 0.750 0.500  1.50
Br: 0.000 0.000 0.000  0.02
Br: 0.750 0.250 0.500  0.02

For the calculated volume, the calculation gives 14.01 Å³/atom. For the distance to the lowest polymorph of the same formula, the calculation gives 306 meV/atom. The value obtained for the formation energy (no corrections) is 0.69 eV/atom.